# 1
A plane-wave DFT calculation with PBE was carried out for crystalline RbTe2AsN at its relaxed geometry.

Cell lengths 6.3635, 6.3635, 3.5757 Å; angles 90.00, 90.00, 90.00 degrees
Fractional coordinates of all 5 atoms:
N 0.0000 0.0000 0.5000
Rb 0.5000 0.5000 0.5000
Te 0.5000 0.0000 0.0000
As 0.0000 0.0000 0.0000
Te 0.0000 0.5000 0.0000

Output
- energy above the most stable polymorph in this dataset (meV per atom) = 0
- V (Å³ per cell) = 145
- D(E_F) (states/eV/cell) = 4.14


# 2
A plane-wave DFT calculation with PBE was carried out for crystalline RbTe2AsN at its relaxed geometry.

Cell lengths 6.3083, 6.3083, 4.9926 Å; angles 90.00, 90.00, 90.00 degrees
Last column: magnetic moment on the atom in μB.
Fractional coordinates of all 5 atoms:
Te 0.0000 0.5000 0.0000  0.02
N 0.0000 0.0000 0.5000  -1.72
As 0.5000 0.5000 0.5000  0.07
Te 0.5000 0.0000 0.0000  0.02
Rb 0.0000 0.0000 0.0000  -0.05

Output
- energy above the most stable polymorph in this dataset (meV per atom) = 1495
- V (Å³ per cell) = 199
- D(E_F) (states/eV/cell) = 7.89